Record 1
Material: YMg2Zn
Method: DFT, PBEsol
State: relaxed

## Properties
**Density of states at the Fermi level**: 1.59 states/eV per cell
**Size of the total moment**: 0.0 Bohr magnetons per cell
**ΔE_f**: -0.185 eV/atom
**Space-group type**: F-43m

```
YMg2Zn
1.0
-2.0507 3.4367 2.8729
-0.2380 -0.6844 4.8728
2.8183 2.6990 3.0070
Y Mg Zn
1 2 1
Cartesian
0.2648 2.7256 5.3763 Y
0.0000 0.0000 0.0000 Mg
0.1324 1.3628 2.6882 Mg
0.3973 4.0884 8.0645 Zn
```

Record 2
Material: Li5V3Bi2P6O24
Method: DFT, PBEsol
State: relaxed

## Properties
**Density of states at the Fermi level**: 20.00 states/eV per cell
**Size of the total moment**: 8.1 Bohr magnetons per cell
**Raw formation energy**: -2.1134 eV per atom
**Space-group type**: P1

```
Li5V3Bi2P6O24
1.0
8.9451 0.2478 0.1302
-4.1164 7.4269 -0.0689
-0.0846 -4.9036 6.9081
O Bi P V Li
24 2 6 3 5
Cartesian
0.4921 2.2269 4.7767 O
2.4916 -0.2892 4.2735 O
1.1105 2.1930 0.2310 O
6.6771 1.8244 2.2354 O
2.4918 2.9698 2.5544 O
1.1011 4.7485 0.2087 O
3.8250 -2.0691 6.7512 O
6.6497 -2.6914 4.3618 O
5.9162 4.0954 0.7242 O
4.3351 0.8689 2.2228 O
5.1623 -0.6033 5.2311 O
3.8717 5.4266 0.0817 O
-0.9235 -1.5538 6.1748 O
6.2734 -0.5949 2.8355 O
-0.3841 3.4936 1.7887 O
-2.0737 5.4504 2.5191 O
3.4641 2.5193 4.8837 O
-1.2508 2.7166 6.5799 O
1.4331 0.4274 2.0642 O
6.0726 0.0996 0.4777 O
0.0330 -0.8438 3.6837 O
-1.6249 3.4021 4.1797 O
4.7344 3.9559 3.2145 O
-1.7506 0.9697 4.8778 O
-4.1325 2.5387 6.7805 Bi
4.0824 -2.1461 3.7003 Bi
0.2410 3.5120 0.3233 P
5.8349 0.5920 1.9055 P
3.3683 3.5459 3.6986 P
-1.0222 2.2890 5.1227 P
4.6310 -0.7489 6.7180 P
1.4367 -0.6663 3.1888 P
7.1807 -0.6995 4.6540 V
-2.3890 3.4819 2.3446 V
2.8611 1.6334 1.0626 V
1.7413 0.9380 5.7536 Li
2.4214 5.5302 1.2804 Li
4.0843 0.8320 4.2038 Li
0.6893 2.1368 2.8154 Li
5.7636 -3.8889 5.8038 Li
```

Record 3
Material: Li2TlPt
Method: DFT, PBEsol
State: relaxed

## Properties
**Density of states at the Fermi level**: 1.35 states/eV per cell
**Size of the total moment**: 0.0 Bohr magnetons per cell
**ΔE_f**: -0.367 eV/atom
**Space-group type**: P4/mmm

```
Li2TlPt
1.0
-0.9172 1.8649 -3.2445
1.0496 -3.2465 -2.1628
-3.7806 -1.3987 0.2648
Pt Li Tl
1 2 1
Cartesian
-1.8241 -1.3902 -2.5712 Pt
0.5248 -1.6233 -1.0814 Li
-1.8903 -0.6993 0.1324 Li
-0.4586 0.9324 -1.6222 Tl
```

Record 4
Material: CdCuNO2
Method: DFT, PBEsol
State: relaxed

## Properties
**Density of states at the Fermi level**: 3.60 states/eV per cell
**Size of the total moment**: 2.7 Bohr magnetons per cell
**Raw formation energy**: 1.2710 eV per atom
**Space-group type**: P4/mmm

```
CdCuNO2
1.0
-1.0596 -3.6779 -1.4732
3.1629 0.1332 -2.6073
2.3947 -1.8163 2.8122
N O Cu Cd
1 2 1 1
Cartesian
1.1973 -0.9082 1.4061 N
-0.5298 -1.8390 -0.7366 O
1.5815 0.0666 -1.3037 O
2.2490 -2.6805 -0.6342 Cu
0.0000 0.0000 0.0000 Cd
```

Record 5
Material: LiCr2Mo
Method: DFT, PBEsol
State: relaxed

## Properties
**Density of states at the Fermi level**: 5.51 states/eV per cell
**Size of the total moment**: 0.0 Bohr magnetons per cell
**ΔE_f**: 0.538 eV/atom
**Space-group type**: R3m
**Energy above the lowest structure with this stoichiometry**: 0.097 eV per formula unit

```
LiCr2Mo
1.0
2.5814 0.0000 0.0000
1.2907 2.2356 0.0000
1.2907 0.7452 9.2217
Cr Li Mo
2 1 1
Cartesian
3.8721 2.2356 7.0564 Cr
1.2907 0.7452 9.1162 Cr
2.5814 1.4904 4.7155 Li
1.2907 0.7452 2.1662 Mo
```

Record 6
Material: Ag2BiSbTe4
Method: DFT, PBEsol
State: relaxed

## Properties
**Density of states at the Fermi level**: 2.74 states/eV per cell
**Size of the total moment**: 0.0 Bohr magnetons per cell
**Raw formation energy**: -0.0632 eV per atom
**Space-group type**: I-4m2

```
Ag2BiSbTe4
1.0
-1.3538 0.2328 -5.9117
-1.2845 -5.9314 0.0606
-4.4058 4.1030 4.2859
Ag Te Sb Bi
2 4 1 1
Cartesian
-1.3191 -2.8493 -2.9256 Ag
-3.5394 0.7432 -2.2757 Ag
-4.0792 -2.2449 -2.2697 Te
-2.9649 0.6493 0.7045 Te
-0.7247 0.1268 -2.9445 Te
-6.3541 1.3596 -1.6068 Te
-3.5047 -2.3389 0.7105 Sb
0.0000 0.0000 0.0000 Bi
```

Record 7
Material: LiY2Cd
Method: DFT, PBEsol
State: relaxed

## Properties
**Density of states at the Fermi level**: 4.03 states/eV per cell
**Size of the total moment**: 0.8 Bohr magnetons per cell
**ΔE_f**: -0.112 eV/atom
**Space-group type**: P4mm
**Energy above the lowest structure with this stoichiometry**: 0.166 eV per formula unit

```
LiY2Cd
1.0
3.6677 0.0000 0.0000
0.0000 3.6677 0.0000
0.0000 0.0000 7.3551
Li Cd Y
1 1 2
Cartesian
1.8338 1.8338 5.2423 Li
0.0000 0.0000 3.9068 Cd
0.0000 0.0000 7.1729 Y
1.8338 1.8338 2.0658 Y
```

Record 8
Material: Zn2RePb
Method: DFT, PBEsol
State: relaxed

## Properties
**Density of states at the Fermi level**: 2.17 states/eV per cell
**Size of the total moment**: 0.0 Bohr magnetons per cell
**ΔE_f**: 0.516 eV/atom
**Space-group type**: P4mm

```
Zn2RePb
1.0
3.4284 0.0000 0.0000
0.0000 3.4284 0.0000
0.0000 0.0000 5.7002
Zn Re Pb
2 1 1
Cartesian
0.0000 0.0000 5.6815 Zn
1.7142 1.7142 1.2651 Zn
1.7142 1.7142 4.4122 Re
0.0000 0.0000 2.8917 Pb
```

Record 9
Material: CaCoSe
Method: DFT, PBEsol
State: relaxed

## Properties
**Density of states at the Fermi level**: 3.90 states/eV per cell
**Size of the total moment**: 0.9 Bohr magnetons per cell
**Raw formation energy**: -0.4091 eV per atom
**Space-group type**: F-43m
**Energy above the lowest structure with this stoichiometry**: 1.147 eV per formula unit

```
CaCoSe
1.0
-1.0672 2.5861 -3.1856
-3.9831 0.0430 -1.4520
-2.4880 3.3534 0.7345
Se Co Ca
1 1 1
Cartesian
0.0000 0.0000 0.0000 Se
-1.8846 1.4956 -0.9758 Co
-3.7691 2.9913 -1.9515 Ca
```

Record 10
Material: CsK3Ge
Method: DFT, PBEsol
State: relaxed

## Properties
**Density of states at the Fermi level**: 4.28 states/eV per cell
**Size of the total moment**: 0.0 Bohr magnetons per cell
**ΔE_f**: 0.109 eV/atom
**Space-group type**: Pm-3m

```
CsK3Ge
1.0
-1.0199 3.3314 -5.6769
-1.6877 -5.6850 -3.0329
-6.3622 0.9740 1.7146
K Ge Cs
3 1 1
Cartesian
-0.8438 -2.8425 -1.5165 K
-0.5100 1.6657 -2.8385 K
-3.1811 0.4870 0.8573 K
0.0000 0.0000 0.0000 Ge
-4.5349 -0.6898 -3.4976 Cs
```

Record 11
Material: RhCSeBr2
Method: DFT, PBEsol
State: relaxed

## Properties
**Density of states at the Fermi level**: 5.40 states/eV per cell
**Size of the total moment**: 1.2 Bohr magnetons per cell
**Raw formation energy**: 1.4520 eV per atom
**Space-group type**: P4/mmm

```
RhCSeBr2
1.0
4.4899 0.0000 0.0000
0.0000 4.3707 0.0000
0.0000 0.0000 4.3707
Br C Se Rh
2 1 1 1
Cartesian
0.0000 2.1853 0.0000 Br
0.0000 0.0000 2.1853 Br
0.0000 0.0000 0.0000 C
2.2450 0.0000 0.0000 Se
2.2450 2.1853 2.1853 Rh
```

Record 12
Material: ReMo2Ru
Method: DFT, PBEsol
State: relaxed

## Properties
**Density of states at the Fermi level**: 5.33 states/eV per cell
**Size of the total moment**: 0.0 Bohr magnetons per cell
**ΔE_f**: 0.228 eV/atom
**Space-group type**: Pmmm

```
ReMo2Ru
1.0
-1.4811 0.2379 2.6675
2.6937 -2.9420 1.7580
2.7296 3.2326 1.2273
Mo Re Ru
2 1 1
Cartesian
0.6243 1.7353 1.9474 Mo
0.0000 0.0000 0.0000 Mo
0.6063 -1.3520 2.2128 Re
2.7116 0.1453 1.4927 Ru
```

Record 13
Material: RbBa3Ta
Method: DFT, PBEsol
State: relaxed

## Properties
**Density of states at the Fermi level**: 7.50 states/eV per cell
**Size of the total moment**: 2.8 Bohr magnetons per cell
**ΔE_f**: 1.747 eV/atom
**Space-group type**: Pm-3m

```
RbBa3Ta
1.0
6.0554 0.0000 0.0000
0.0000 6.0554 0.0000
0.0000 0.0000 6.0554
Ta Ba Rb
1 3 1
Cartesian
3.0277 3.0277 3.0277 Ta
0.0000 0.0000 3.0277 Ba
0.0000 3.0277 0.0000 Ba
3.0277 0.0000 0.0000 Ba
0.0000 0.0000 0.0000 Rb
```

Record 14
Material: YAlSb2
Method: DFT, PBEsol
State: relaxed

## Properties
**Density of states at the Fermi level**: 1.73 states/eV per cell
**Size of the total moment**: 0.0 Bohr magnetons per cell
**Raw formation energy**: -0.4707 eV per atom
**Space-group type**: Cm

```
YAlSb2
1.0
-3.8549 -1.8170 0.3457
0.2061 -1.2202 -4.0759
4.0813 -2.9704 3.3231
Sb Al Y
2 1 1
Cartesian
-0.7975 -3.1552 0.9008 Sb
0.2083 -1.2238 -4.0725 Sb
1.2300 -2.8510 -1.3129 Al
2.2552 -4.4865 1.4595 Y
```

Record 15
Material: ReTeMo2
Method: DFT, PBEsol
State: relaxed

## Properties
**Density of states at the Fermi level**: 2.81 states/eV per cell
**Size of the total moment**: 0.0 Bohr magnetons per cell
**Raw formation energy**: 0.4223 eV per atom
**Space-group type**: Pmmm

```
ReTeMo2
1.0
-1.6531 0.9149 -2.3216
0.0269 -3.8545 -1.5381
-4.4053 -1.1082 2.7001
Te Mo Re
1 2 1
Cartesian
-3.0157 -2.0239 -0.5798 Te
-3.3816 -0.8507 2.0727 Mo
-1.0236 -0.2575 0.6274 Mo
-0.8131 -1.4698 -1.9299 Re
```

Record 16
Material: Sr2LaAl
Method: DFT, PBEsol
State: relaxed

## Properties
**Density of states at the Fermi level**: 4.19 states/eV per cell
**Size of the total moment**: 0.0 Bohr magnetons per cell
**ΔE_f**: 0.113 eV/atom
**Space-group type**: P2/m

```
Sr2LaAl
1.0
3.7257 0.0000 0.1306
0.0000 5.1820 0.0000
-0.4291 0.0000 7.0977
La Sr Al
1 2 1
Cartesian
1.6483 2.5910 3.6141 La
3.5815 0.0000 1.7587 Sr
-0.2849 0.0000 5.4696 Sr
1.8629 2.5910 0.0653 Al
```

Record 17
Material: LaAl2Se
Method: DFT, PBEsol
State: relaxed

## Properties
**Density of states at the Fermi level**: 3.29 states/eV per cell
**Size of the total moment**: 0.0 Bohr magnetons per cell
**Raw formation energy**: -0.3362 eV per atom
**Space-group type**: P4/mmm
**Energy above the lowest structure with this stoichiometry**: 0.894 eV per formula unit

```
LaAl2Se
1.0
-2.0972 -1.6524 -2.5367
-1.6965 -1.9144 2.6496
-4.4272 4.7272 0.5810
La Al Se
1 2 1
Cartesian
-1.8969 -1.7834 0.0565 La
-3.1071 3.3176 0.4077 Al
-1.3201 1.4096 0.1732 Al
-4.1104 0.5802 0.3469 Se
```

Record 18
Material: BiOsIN2
Method: DFT, PBEsol
State: relaxed

## Properties
**Density of states at the Fermi level**: 4.34 states/eV per cell
**Size of the total moment**: 0.0 Bohr magnetons per cell
**Raw formation energy**: 1.1424 eV per atom
**Space-group type**: P4/mmm

```
BiOsIN2
1.0
4.0465 0.0000 0.0000
0.0000 4.0465 0.0000
0.0000 0.0000 5.5116
Os N Bi I
1 2 1 1
Cartesian
0.0000 0.0000 0.0000 Os
2.0232 0.0000 0.0000 N
0.0000 2.0232 0.0000 N
2.0232 2.0232 2.7558 Bi
0.0000 0.0000 2.7558 I
```

Record 19
Material: CoRu
Method: DFT, PBEsol
State: relaxed

## Properties
**Density of states at the Fermi level**: 8.94 states/eV per cell
**Size of the total moment**: 2.6 Bohr magnetons per cell
**ΔE_f**: 0.073 eV/atom
**Space-group type**: Pnma

```
CoRu
1.0
4.0702 0.0000 0.0000
0.0000 4.4927 0.0000
0.0000 0.0000 5.0976
Ru Co
4 4
Cartesian
1.0176 0.4034 3.1937 Ru
3.0527 1.8429 0.6449 Ru
3.0527 4.0893 1.9039 Ru
1.0176 2.6498 4.4527 Ru
1.0176 2.6157 1.9300 Co
3.0527 1.8770 3.1676 Co
1.0176 0.3693 0.6188 Co
3.0527 4.1234 4.4788 Co
```

Record 20
Material: BeAl2Tc
Method: DFT, PBEsol
State: relaxed

## Properties
**Density of states at the Fermi level**: 2.79 states/eV per cell
**Size of the total moment**: 0.0 Bohr magnetons per cell
**ΔE_f**: 0.069 eV/atom
**Space-group type**: P4mm

```
BeAl2Tc
1.0
-2.4819 -0.4849 -0.9160
-0.5017 -1.5181 2.1628
-2.5074 5.9903 3.6230
Al Tc Be
2 1 1
Cartesian
-2.2048 0.7019 1.6536 Al
-2.4567 5.8692 3.5498 Al
-3.3044 3.3288 3.2424 Tc
-1.2863 3.0729 1.8585 Be
```

Record 21
Material: KNb3As
Method: DFT, PBEsol
State: relaxed

## Properties
**Density of states at the Fermi level**: 6.73 states/eV per cell
**Size of the total moment**: 0.0 Bohr magnetons per cell
**ΔE_f**: 1.088 eV/atom
**Space-group type**: Pm-3m

```
KNb3As
1.0
-2.1750 -3.8274 2.1447
1.9906 -2.9940 -3.3245
3.9097 -0.6047 2.8857
K Nb As
1 3 1
Cartesian
1.8627 -3.7131 0.8530 K
-1.0875 -1.9137 1.0723 Nb
0.9953 -1.4970 -1.6622 Nb
1.9549 -0.3024 1.4429 Nb
0.0000 0.0000 0.0000 As
```

Record 22
Material: Li2CuRh
Method: DFT, PBEsol
State: relaxed

## Properties
**Density of states at the Fermi level**: 2.29 states/eV per cell
**Size of the total moment**: 0.0 Bohr magnetons per cell
**ΔE_f**: 0.009 eV/atom
**Space-group type**: Pmmm
**Energy above the lowest structure with this stoichiometry**: 0.333 eV per formula unit

```
Li2CuRh
1.0
2.4833 0.0000 0.0000
0.0000 3.9977 0.0000
0.0000 0.0000 5.1124
Rh Li Cu
1 2 1
Cartesian
1.2416 1.9988 0.0000 Rh
0.0000 0.0000 1.2356 Li
0.0000 0.0000 3.8768 Li
1.2416 1.9988 2.5562 Cu
```

Record 23
Material: CaNi4Sn2
Method: DFT, PBEsol
State: relaxed

## Properties
**Density of states at the Fermi level**: 8.33 states/eV per cell
**Size of the total moment**: 0.0 Bohr magnetons per cell
**ΔE_f**: -0.372 eV/atom
**Space-group type**: I4/mcm

```
CaNi4Sn2
1.0
-3.3060 -2.8334 4.9921
-3.3617 -0.7196 -5.6622
5.9212 -2.8764 -0.7388
Sn Ni Ca
4 8 2
Cartesian
-1.8637 -2.1181 0.4447 Sn
-1.4123 -2.1075 -4.1031 Sn
0.6657 -4.3219 2.6942 Sn
1.1171 -4.3113 -1.8536 Sn
-3.7752 -2.6778 -3.1639 Ni
-1.1805 -3.2806 -1.7877 Ni
3.0287 -3.7517 1.7550 Ni
-2.3438 -1.0773 -1.8955 Ni
1.5972 -5.3521 0.4867 Ni
-3.4765 -3.6664 -0.8940 Ni
0.4340 -3.1488 0.3789 Ni
2.7300 -2.7630 -0.5149 Ni
0.6399 -0.8990 -1.6003 Ca
1.9196 -2.6970 -4.8008 Ca
```

Record 24
Material: MnFeOs2
Method: DFT, PBEsol
State: relaxed

## Properties
**Density of states at the Fermi level**: 4.03 states/eV per cell
**Size of the total moment**: 0.0 Bohr magnetons per cell
**ΔE_f**: 0.033 eV/atom
**Space-group type**: Amm2

```
MnFeOs2
1.0
-2.1966 -0.5103 1.3356
-1.1265 -2.4972 -2.8068
3.2813 -3.2568 1.5807
Os Mn Fe
2 1 1
Cartesian
1.2691 -4.1965 0.4840 Os
0.3474 -0.5589 0.3578 Os
-0.8352 -2.8332 0.1156 Mn
0.2613 -2.4425 2.0682 Fe
```

Record 25
Material: MnFeGe2O
Method: DFT, PBEsol
State: relaxed

## Properties
**Density of states at the Fermi level**: 5.69 states/eV per cell
**Size of the total moment**: 2.9 Bohr magnetons per cell
**Raw formation energy**: 0.8269 eV per atom
**Space-group type**: P4/mmm

```
MnFeGe2O
1.0
4.4406 0.0000 0.0000
0.0000 4.4406 0.0000
0.0000 0.0000 4.1180
Mn Fe Ge O
1 1 2 1
Cartesian
0.0000 0.0000 0.0000 Mn
0.0000 0.0000 2.0590 Fe
0.0000 2.2203 0.0000 Ge
2.2203 0.0000 0.0000 Ge
2.2203 2.2203 2.0590 O
```

Record 26
Material: SbN3Cl
Method: DFT, PBEsol
State: relaxed

## Properties
**Density of states at the Fermi level**: 0.86 states/eV per cell
**Size of the total moment**: 5.1 Bohr magnetons per cell
**Raw formation energy**: 1.8510 eV per atom
**Space-group type**: Pm-3m

```
SbN3Cl
1.0
4.1907 0.0000 0.0000
0.0000 4.1907 0.0000
0.0000 0.0000 4.1907
N Sb Cl
3 1 1
Cartesian
0.0000 2.0953 0.0000 N
2.0953 0.0000 0.0000 N
0.0000 0.0000 2.0953 N
0.0000 0.0000 0.0000 Sb
2.0953 2.0953 2.0953 Cl
```

Record 27
Material: MgMoCl
Method: DFT, PBEsol
State: relaxed

## Properties
**Density of states at the Fermi level**: 1.81 states/eV per cell
**Size of the total moment**: 0.0 Bohr magnetons per cell
**Raw formation energy**: 0.1630 eV per atom
**Space-group type**: I4mm

```
MgMoCl
1.0
-0.0507 2.4165 -1.7134
-2.6563 -0.7956 -1.0435
-1.2498 2.2041 5.7069
Cl Mo Mg
1 1 1
Cartesian
-3.8271 3.6749 2.7345 Cl
-1.7945 2.0780 2.9837 Mo
-2.2918 1.8971 0.1818 Mg
```